Ca2LaCr | the Alexandria database | PBE | optimized geometry; relative energy among the computed polymorphs = 0.132 eV/atom; total magnetic moment = 3.42 μB/f.u.; final energy = -4.22 eV/atom; D(E_F) = 1.10 states/eV per atom; V = 34.233 Å³/atom; symmetry = R3m (160)
1.0
11.168 -0.018 -0.010
10.528 3.728 -0.010
10.528 1.800 3.264
La Ca Cr
1 2 1
Direct
0.231 0.231 0.231
0.000 0.000 0.000
0.766 0.766 0.766
0.502 0.502 0.502



CaLaCr | the Alexandria database | PBE | optimized geometry; relative energy among the computed polymorphs = 0.688 eV/atom; total magnetic moment = 4.22 μB/f.u.; final energy = -4.45 eV/atom; D(E_F) = 1.37 states/eV per atom; V = 33.479 Å³/atom; symmetry = F-43m (216)
1.0
5.218 0.000 0.000
2.609 4.519 0.000
2.609 1.506 4.260
La Cr Ca
1 1 1
Direct
0.750 0.750 0.750
0.500 0.500 0.500
0.000 0.000 0.000



CaLaCr2 | the Alexandria database | PBE | optimized geometry; relative energy among the computed polymorphs = 0.423 eV/atom; total magnetic moment = 0.00 μB/f.u.; final energy = -5.72 eV/atom; D(E_F) = 1.03 states/eV per atom; V = 26.629 Å³/atom; symmetry = P2/m (10)
1.0
-3.050 3.535 0.342
-2.118 -2.010 1.897
0.795 -0.030 7.401
Ca La Cr
1 1 2
Direct
0.500 0.750 0.750
0.500 0.250 0.250
0.000 0.606 0.393
0.000 0.894 0.107



Ca2LaCr | the Alexandria database | PBE | optimized geometry; relative energy among the computed polymorphs = 0.180 eV/atom; total magnetic moment = 4.41 μB/f.u.; final energy = -4.17 eV/atom; D(E_F) = 1.25 states/eV per atom; V = 32.890 Å³/atom; symmetry = P2/m (10)
1.0
5.659 0.000 0.000
0.000 3.591 -0.034
0.000 1.293 6.461
La Ca Cr
1 2 1
Direct
0.500 0.750 0.750
0.000 0.061 0.016
0.000 0.439 0.484
0.500 0.250 0.250



CaLaCr2 | the Alexandria database | PBE | optimized geometry; relative energy among the computed polymorphs = 1.058 eV/atom; total magnetic moment = 0.00 μB/f.u.; final energy = -5.08 eV/atom; D(E_F) = 3.39 states/eV per atom; V = 21.426 Å³/atom; symmetry = I-42d (122)
1.0
-6.283 4.035 1.971
-4.194 -6.485 -0.092
-4.640 -1.651 3.718
La Cr Ca
2 4 2
Direct
0.000 0.000 0.000
0.750 0.250 0.500
0.875 0.886 0.750
0.375 0.364 0.750
0.114 0.625 0.250
0.636 0.125 0.250
0.250 0.750 0.500
0.500 0.500 0.000



CaLaCr3 | the Alexandria database | PBE | optimized geometry; relative energy among the computed polymorphs = 0.000 eV/atom; total magnetic moment = 9.12 μB/f.u.; final energy = -5.68 eV/atom; D(E_F) = 0.62 states/eV per atom; V = 24.483 Å³/atom; symmetry = Pm-3m (221)
1.0
4.965 0.000 0.000
0.000 4.965 0.000
0.000 0.000 4.965
Cr La Ca
3 1 1
Direct
0.500 0.000 0.000
0.000 0.000 0.500
0.000 0.500 0.000
0.000 0.000 0.000
0.500 0.500 0.500